# 1
VASP calculation (PBE) on a relaxed PuHf3 crystal.

a b c (Å): 6.4773 6.4773 4.0885
angles (deg): 90.00 90.00 87.15
Closest atoms and distances in Å follow each position.
Fractional coordinates of all 8 atoms:
Pu (0.0679, 0.9321, 0.7500)  2 Pu 2.38
Pu (0.9321, 0.0679, 0.2500)  2 Pu 2.38
Hf (0.1293, 0.3890, 0.7500)  7 Hf 2.97-3.10, 3 Pu 3.01-3.23
Hf (0.3444, 0.6556, 0.2500)  8 Hf 3.06-3.41, 2 Pu 3.21
Hf (0.3890, 0.1293, 0.2500)  7 Hf 2.97-3.10, 3 Pu 3.01-3.23
Hf (0.6110, 0.8707, 0.7500)  7 Hf 2.97-3.10, 3 Pu 3.01-3.23
Hf (0.6556, 0.3444, 0.7500)  8 Hf 3.06-3.41, 2 Pu 3.21
Hf (0.8707, 0.6110, 0.2500)  7 Hf 2.97-3.10, 3 Pu 3.01-3.23

Summary:
ΔE to the lowest computed polymorph   107.9 meV per atom
Fermi-level density of states   1.66 states/eV per atom

# 2
VASP calculation (PBE) on a relaxed PuHf crystal.

a b c (Å): 3.6089 3.6089 3.6089
angles (deg): 90.00 90.00 90.00
Closest atoms and distances in Å follow each position.
Fractional coordinates of all 2 atoms:
Pu (0.0000, 0.0000, 0.0000)  8 Hf 3.13
Hf (0.5000, 0.5000, 0.5000)  8 Pu 3.13

Summary:
ΔE to the lowest computed polymorph   122.8 meV per atom
Fermi-level density of states   2.77 states/eV per atom

# 3
VASP calculation (PBE) on a relaxed PuHf3 crystal.

a b c (Å): 5.0313 5.0313 5.0313
angles (deg): 60.00 60.00 60.00
Closest atoms and distances in Å follow each position.
Fractional coordinates of all 4 atoms:
Pu (0.0000, 0.0000, 0.0000)  8 Hf 3.08
Hf (0.2500, 0.2500, 0.2500)  4 Hf 3.08, 4 Pu 3.08
Hf (0.5000, 0.5000, 0.5000)  8 Hf 3.08
Hf (0.7500, 0.7500, 0.7500)  4 Hf 3.08, 4 Pu 3.08

Summary:
ΔE to the lowest computed polymorph   134.5 meV per atom
Fermi-level density of states   2.61 states/eV per atom

# 4
VASP calculation (PBE) on a relaxed PuHf3 crystal.

a b c (Å): 5.4801 5.4801 5.4801
angles (deg): 131.32 131.32 71.31
Closest atoms and distances in Å follow each position.
Fractional coordinates of all 4 atoms:
Pu (0.0000, 0.0000, 0.0000)  12 Hf 3.17-3.19
Hf (0.2500, 0.7500, 0.5000)  8 Hf 3.17-3.19, 4 Pu 3.17
Hf (0.5000, 0.5000, 0.0000)  8 Hf 3.17, 4 Pu 3.19
Hf (0.7500, 0.2500, 0.5000)  8 Hf 3.17-3.19, 4 Pu 3.17

Summary:
ΔE to the lowest computed polymorph   0.0 meV per atom
Fermi-level density of states   1.48 states/eV per atom

# 5
VASP calculation (PBE) on a relaxed Pu2Hf crystal.

a b c (Å): 5.5519 5.5519 5.5519
angles (deg): 60.00 60.00 60.00
Closest atoms and distances in Å follow each position.
Fractional coordinates of all 6 atoms:
Pu (0.0000, 0.0000, 0.0000)  6 Pu 2.78
Pu (0.0000, 0.0000, 0.5000)  6 Pu 2.78
Pu (0.0000, 0.5000, 0.0000)  6 Pu 2.78
Pu (0.5000, 0.0000, 0.0000)  6 Pu 2.78
Hf (0.3750, 0.3750, 0.3750)  12 Pu 3.26, 4 Hf 3.40
Hf (0.6250, 0.6250, 0.6250)  12 Pu 3.26, 4 Hf 3.40

Summary:
ΔE to the lowest computed polymorph   150.3 meV per atom
Fermi-level density of states   2.05 states/eV per atom

# 6
VASP calculation (PBE) on a relaxed Rb2Pu2HfS6 crystal.

a b c (Å): 6.8511 6.8511 8.1744
angles (deg): 98.23 98.23 119.56
Closest atoms and distances in Å follow each position.
Fractional coordinates of all 11 atoms:
Rb (0.1694, 0.8306, 0.0000)  6 S 3.34-3.44
Rb (0.8306, 0.1694, 0.0000)  6 S 3.34-3.44
Pu (0.3338, 0.6662, 0.5000)  6 S 2.76-2.77
Pu (0.6662, 0.3338, 0.5000)  6 S 2.76-2.77
Hf (0.0000, 0.0000, 0.5000)  6 S 2.58-2.59
S (0.0621, 0.3762, 0.6837)  1 Hf 2.59, 2 Pu 2.76-2.77
S (0.2488, 0.2488, 0.3166)  1 Hf 2.58, 2 Pu 2.76
S (0.3762, 0.0621, 0.6837)  1 Hf 2.59, 2 Pu 2.76-2.77
S (0.6238, 0.9379, 0.3163)  1 Hf 2.59, 2 Pu 2.76-2.77
S (0.7512, 0.7512, 0.6834)  1 Hf 2.58, 2 Pu 2.76
S (0.9379, 0.6238, 0.3163)  1 Hf 2.59, 2 Pu 2.76-2.77

Summary:
Fermi-level density of states   1.72 states/eV per atom
Energy relative to the elements, uncorrected   -1.5845 eV per atom